An optimized crystal structure of V2HO5. Source: Alexandria, functional PBE+U.

Structure (POSCAR):
```
V2HO5
1.0
3.6550 0.0000 0.0000
-1.8275 5.1984 -0.3523
0.0000 -0.6960 10.4465
H O V
2 10 4
Direct
0.0275 0.0549 0.2951 H
0.9725 0.9451 0.7049 H
0.2704 0.5407 0.0719 O
0.3206 0.6412 0.4672 O
0.6794 0.3588 0.5328 O
0.2343 0.4686 0.7303 O
0.9709 0.9419 0.1373 O
0.0291 0.0581 0.8627 O
0.9808 0.9617 0.6106 O
0.7657 0.5314 0.2697 O
0.0192 0.0383 0.3894 O
0.7296 0.4592 0.9281 O
0.1876 0.3752 0.8852 V
0.1473 0.2946 0.5559 V
0.8527 0.7055 0.4441 V
0.8124 0.6248 0.1148 V
```

crystal system: monoclinic
density: 3.1 g cm⁻³
raw total energy: -113.56 eV/cell